(1)
# BaTcIr2

Crystalline BaTcIr2 at its relaxed geometry (PBE, Alexandria via LeMat-Bulk).

## Properties
Energy of formation from the pure elements: 1.082 eV/atom
Energy relative to the lowest polymorph listed for this composition: 987.3 meV/atom

Unit cell a=4.426 b=4.426 c=4.068 alpha=90.00 beta=90.00 gamma=90.00
Space group P4/mmm (No. 123)
Asymmetric unit:
Ba: 0.000 0.000 0.000 x1
Tc: 0.500 0.500 0.000 x1
Ir: 0.000 0.500 0.500 x2



(2)
# Th4P2RhS

Crystalline Th4P2RhS at its relaxed geometry (PBE, Alexandria via LeMat-Bulk).

## Properties
Formation energy without anion corrections: -1419 meV/atom

Unit cell a=7.179 b=4.053 c=7.243 alpha=90.00 beta=109.48 gamma=90.00
Space group P2/m (No. 10)
Asymmetric unit:
Th: 0.243 0.000 0.246 x2
Th: 0.250 0.500 0.745 x2
P: 0.000 0.000 0.500 x1
P: 0.500 0.500 0.500 x1
Rh: 0.000 0.500 0.000 x1
S: 0.500 0.000 0.000 x1



(3)
# B5C7

Crystalline B5C7 at its relaxed geometry (PBE, Alexandria via LeMat-Bulk).

## Properties
Energy of formation from the pure elements: 0.344 eV/atom
Energy relative to the lowest polymorph listed for this composition: 85.9 meV/atom

Unit cell a=2.5910 b=2.5910 c=13.4763 alpha=90.00 beta=90.00 gamma=120.00
Space group P3m1 (No. 156)
Asymmetric unit:
B: 0.0000 0.0000 0.0000 x1
B: 0.0000 0.0000 0.4829 x1
B: 0.3333 0.6667 0.2752 x1
B: 0.3333 0.6667 0.7635 x1
B: 0.6667 0.3333 0.9214 x1
C: 0.0000 0.0000 0.1174 x1
C: 0.0000 0.0000 0.6061 x1
C: 0.3333 0.6667 0.1559 x1
C: 0.3333 0.6667 0.6377 x1
C: 0.6667 0.3333 0.3287 x1
C: 0.6667 0.3333 0.4342 x1
C: 0.6667 0.3333 0.8078 x1



(4)
# LiPaInGa

Crystalline LiPaInGa at its relaxed geometry (PBE, Alexandria via LeMat-Bulk).

## Properties
Energy of formation from the pure elements: -0.052 eV/atom

Unit cell a=7.059 b=7.059 c=7.059 alpha=90.00 beta=90.00 gamma=90.00
Space group F-43m (No. 216)
Asymmetric unit:
Li: 0.000 0.000 0.000 x4
Pa: 0.000 0.000 0.500 x4
In: 0.250 0.250 0.750 x4
Ga: 0.250 0.250 0.250 x4



(5)
# BeZnAu

Crystalline BeZnAu at its relaxed geometry (PBE, Alexandria via LeMat-Bulk).

## Properties
Energy of formation from the pure elements: 0.013 eV/atom
Energy relative to the lowest polymorph listed for this composition: 119.4 meV/atom

Unit cell a=4.1556 b=4.1556 c=2.8149 alpha=90.00 beta=90.00 gamma=120.00
Space group P-6m2 (No. 187)
Asymmetric unit:
Be: 0.0000 0.0000 0.0000 x1
Zn: 0.3333 0.6667 0.5000 x1
Au: 0.6667 0.3333 0.0000 x1



(6)
# K4Tm3SbSe8

Crystalline K4Tm3SbSe8 at its relaxed geometry (PBE, Alexandria via LeMat-Bulk).

## Properties
Formation energy without anion corrections: -1489 meV/atom

Unit cell a=8.3820 b=8.3820 c=22.9899 alpha=90.00 beta=90.00 gamma=120.00
Space group R-3m (No. 166, hexagonal axes)
Asymmetric unit:
K: 0.0000 0.0000 0.0000 x3
K: 0.0000 0.5000 0.0000 x9
Tm: 0.0000 0.5000 0.5000 x9
Sb: 0.0000 0.0000 0.5000 x3
Se: 0.0000 0.0000 0.2342 x6
Se: 0.0044 0.5022 0.7657 x18



Copy entry 6 word for word.
# K4Tm3SbSe8

Crystalline K4Tm3SbSe8 at its relaxed geometry (PBE, Alexandria via LeMat-Bulk).

## Properties
Formation energy without anion corrections: -1489 meV/atom

Unit cell a=8.3820 b=8.3820 c=22.9899 alpha=90.00 beta=90.00 gamma=120.00
Space group R-3m (No. 166, hexagonal axes)
Asymmetric unit:
K: 0.0000 0.0000 0.0000 x3
K: 0.0000 0.5000 0.0000 x9
Tm: 0.0000 0.5000 0.5000 x9
Sb: 0.0000 0.0000 0.5000 x3
Se: 0.0000 0.0000 0.2342 x6
Se: 0.0044 0.5022 0.7657 x18